PmCr2SnO6, relaxed, DFT GGA+U; uncorrected energy = -7.46 eV per atom; ρ = 6.54 g/cm³
1.0
-0.810 -5.238 -1.506
1.805 -4.094 3.205
-3.603 -3.158 2.717
O Sn Pm Cr
6 1 1 2
Cartesian
0.634 -5.615 2.967
-1.782 -6.987 3.840
-0.493 -5.433 0.380
-2.869 -6.886 1.302
-1.859 -4.411 2.439
-0.356 -8.049 1.677
-0.392 -3.257 1.081
-1.789 -9.304 3.151
-1.124 -6.249 2.098
-3.402 -3.147 2.614